SrNdSn2 | GGA-PBE | relaxed

CIF file:
```
data_SrNdSn2
_symmetry_space_group_name_H-M 'P m c 21'
_symmetry_Int_Tables_number 26
_symmetry_space_group_name_Hall 'P 2c -2'
_cell_length_a 4.413
_cell_length_b 6.458
_cell_length_c 9.033
_cell_angle_alpha 90.00
_cell_angle_beta 90.00
_cell_angle_gamma 90.00
loop_
_atom_site_label
_atom_site_fract_x
_atom_site_fract_y
_atom_site_fract_z
_atom_site_occupancy
Sr1 0.000 0.127 0.000 1
Nd1 0.500 0.365 0.366 1
Sn1 0.000 0.408 0.642 1
Sn2 0.500 0.119 0.720 1
```

Calculated values
* calculated formation energy: -670 meV/atom
* E: -4.284 eV per atom
* V: 257.4 Å³/cell



ScCd2Pt | GGA-PBE | relaxed

CIF file:
```
data_ScCd2Pt
_symmetry_space_group_name_H-M 'P 1 m 1'
_symmetry_Int_Tables_number 6
_symmetry_space_group_name_Hall 'P -2y'
_cell_length_a 3.445
_cell_length_b 3.401
_cell_length_c 6.848
_cell_angle_alpha 90.00
_cell_angle_beta 90.10
_cell_angle_gamma 90.00
loop_
_atom_site_label
_atom_site_fract_x
_atom_site_fract_y
_atom_site_fract_z
_atom_site_occupancy
Sc1 0.000 0.000 0.000 1
Cd1 0.499 0.500 0.285 1
Cd2 0.999 0.000 0.553 1
Pt1 0.500 0.500 0.814 1
```

Calculated values
* calculated formation energy: -552 meV/atom
* E: -4.103 eV per atom
* V: 80.2 Å³/cell



CuGe2BI | GGA-PBE | relaxed

CIF file:
```
data_CuGe2BI
_symmetry_space_group_name_H-M 'P 4/m m m'
_symmetry_Int_Tables_number 123
_symmetry_space_group_name_Hall '-P 4 2'
_cell_length_a 5.601
_cell_length_b 5.601
_cell_length_c 4.762
_cell_angle_alpha 90.00
_cell_angle_beta 90.00
_cell_angle_gamma 90.00
loop_
_atom_site_label
_atom_site_fract_x
_atom_site_fract_y
_atom_site_fract_z
_atom_site_occupancy
Cu1 0.000 0.000 0.000 1
Ge1 0.000 0.500 0.500 1
B1 0.500 0.500 0.000 1
I1 0.000 0.000 0.500 1
```

Calculated values
* raw formation energy: 2.00 eV/atom
* E: -2.310 eV per atom
* V: 149.4 Å³/cell



HoMg14Cd | GGA-PBE | relaxed

CIF file:
```
data_HoMg14Cd
_symmetry_space_group_name_H-M 'P 4/m m m'
_symmetry_Int_Tables_number 123
_symmetry_space_group_name_Hall '-P 4 2'
_cell_length_a 6.605
_cell_length_b 6.605
_cell_length_c 8.629
_cell_angle_alpha 90.00
_cell_angle_beta 90.00
_cell_angle_gamma 90.00
loop_
_atom_site_label
_atom_site_fract_x
_atom_site_fract_y
_atom_site_fract_z
_atom_site_occupancy
Ho1 0.000 0.000 0.000 1
Mg1 0.000 0.000 0.500 1
Mg2 0.000 0.500 0.000 1
Mg3 0.000 0.500 0.500 1
Mg4 0.252 0.252 0.254 1
Mg5 0.500 0.500 0.500 1
Cd1 0.500 0.500 0.000 1
```

Calculated values
* calculated formation energy: -2 meV/atom
* E: -1.740 eV per atom
* V: 376.4 Å³/cell



MnAg2Br | GGA-PBE | relaxed

CIF file:
```
data_MnAg2Br
_symmetry_space_group_name_H-M 'C m m m'
_symmetry_Int_Tables_number 65
_symmetry_space_group_name_Hall '-C 2 2'
_cell_length_a 5.501
_cell_length_b 8.810
_cell_length_c 3.346
_cell_angle_alpha 90.00
_cell_angle_beta 90.00
_cell_angle_gamma 90.00
loop_
_atom_site_label
_atom_site_fract_x
_atom_site_fract_y
_atom_site_fract_z
_atom_site_occupancy
Mn1 0.000 0.000 0.000 1
Ag1 0.250 0.250 0.500 1
Br1 0.000 0.500 0.000 1
```

Calculated values
* raw formation energy: 0.35 eV/atom
* E: -3.782 eV per atom
* V: 162.2 Å³/cell



BaCaHg2 | GGA-PBE | relaxed

CIF file:
```
data_BaCaHg2
_symmetry_space_group_name_H-M 'P 4 m m'
_symmetry_Int_Tables_number 99
_symmetry_space_group_name_Hall 'P 4 -2'
_cell_length_a 4.434
_cell_length_b 4.434
_cell_length_c 7.247
_cell_angle_alpha 90.00
_cell_angle_beta 90.00
_cell_angle_gamma 90.00
loop_
_atom_site_label
_atom_site_fract_x
_atom_site_fract_y
_atom_site_fract_z
_atom_site_occupancy
Ba1 0.000 0.000 0.000 1
Ca1 0.500 0.500 0.391 1
Hg1 0.000 0.000 0.510 1
Hg2 0.500 0.500 0.814 1
```

Calculated values
* calculated formation energy: -389 meV/atom
* E: -1.521 eV per atom
* V: 142.4 Å³/cell